A plane-wave DFT calculation with PBE was carried out for a relaxed structure of Te3AsRu.

Cell and atoms, written as POSCAR:
```
Te3AsRu
1.0
5.164 0.000 0.000
0.000 5.164 0.000
0.000 0.000 5.164
As Te Ru
1 3 1
Cartesian
2.582 2.582 2.582
2.582 0.000 0.000
0.000 2.582 0.000
0.000 0.000 2.582
0.000 0.000 0.000
```

Properties
space-group type = Pm-3m (221)
excess energy over the best structure of this formula in the dataset = 0.000 eV/atom
M_tot = 0.000 μB/cell
volume = 27.55 Å³/atom

A plane-wave DFT calculation with PBE was carried out for a relaxed structure of TeAsRu.

Cell and atoms, written as POSCAR:
```
TeAsRu
1.0
6.646 -0.005 0.006
5.928 3.005 -0.002
0.718 0.180 3.005
Te Ru As
1 1 1
Cartesian
8.952 2.138 0.921
4.823 1.156 1.966
12.091 2.885 0.126
```

Properties
space-group type = I4mm (107)
M_tot = 0.000 μB/cell
volume = 20.04 Å³/atom
total DFT energy (no corrections) = -16.93 eV/cell

A plane-wave DFT calculation with PBE was carried out for a relaxed structure of TeAs2Ru.

Cell and atoms, written as POSCAR:
```
TeAs2Ru
1.0
3.271 0.000 0.000
0.000 4.660 0.000
0.000 0.000 4.927
Ru Te As
1 1 2
Cartesian
1.636 0.000 2.463
0.000 2.330 2.463
0.000 0.000 0.000
1.636 2.330 0.000
```

Properties
space-group type = Pmmm (47)
M_tot = 0.000 μB/cell
volume = 18.78 Å³/atom
total DFT energy (no corrections) = -19.65 eV/cell

A plane-wave DFT calculation with PBE was carried out for a relaxed structure of TeAs2Ru.

Cell and atoms, written as POSCAR:
```
TeAs2Ru
1.0
4.001 -0.010 -0.079
2.840 2.818 -0.079
-1.934 -0.794 8.147
As Ru Te
2 1 1
Cartesian
3.266 1.340 3.219
6.029 2.475 0.616
1.227 0.504 1.997
3.681 1.511 5.992
```

Properties
space-group type = C2/m (12)
M_tot = 0.000 μB/cell
volume = 22.90 Å³/atom
total DFT energy (no corrections) = -21.74 eV/cell

A plane-wave DFT calculation with PBE was carried out for a relaxed structure of Te3AsRu.

Cell and atoms, written as POSCAR:
```
Te3AsRu
1.0
-4.786 2.088 -1.171
-1.860 -1.594 4.758
1.508 4.663 2.151
Te As Ru
3 1 1
Cartesian
0.754 2.331 1.076
-0.930 -0.797 2.379
-2.393 1.044 -0.585
0.000 0.000 0.000
-2.569 2.579 2.869
```

Properties
space-group type = Pm-3m (221)
excess energy over the best structure of this formula in the dataset = 0.564 eV/atom
M_tot = 3.051 μB/cell
volume = 30.66 Å³/atom

A plane-wave DFT calculation with PBE was carried out for a relaxed structure of TeAs2Ru.

Cell and atoms, written as POSCAR:
```
TeAs2Ru
1.0
6.179 -0.021 0.020
3.519 5.079 -0.020
-4.272 -3.634 2.592
Te As Ru
1 2 1
Cartesian
2.048 1.987 1.286
9.100 4.746 0.000
5.447 2.841 0.000
3.378 -0.563 1.306
```

Properties
space-group type = Immm (71)
M_tot = 0.000 μB/cell
volume = 20.31 Å³/atom
total DFT energy (no corrections) = -20.88 eV/cell